1.
First-principles (GGA-PBE) data for ReTeBr2 after structural relaxation, as listed in the Alexandria database.

```
data_ReTeBr2
_cell_length_a 3.096
_cell_length_b 5.876
_cell_length_c 11.513
_cell_angle_alpha 90.00
_cell_angle_beta 90.00
_cell_angle_gamma 90.00
_space_group_name_H-M_alt 'C m m m'
_space_group_IT_number 65
_space_group_name_Hall '-C 2 2'
loop_
_atom_site_label
_atom_site_type_symbol
_atom_site_fract_x
_atom_site_fract_y
_atom_site_fract_z
Re1 Re 0.000 0.000 0.000
Te1 Te 0.000 0.000 0.500
Br1 Br 0.000 0.500 0.174
```

***

2.
# Na2MgTa (GGA-PBE, relaxed)
# - ΔH_f (0 K): 1290.5 meV per atom
data_Na2MgTa
_cell_length_a 8.461
_cell_length_b 8.461
_cell_length_c 5.945
_cell_angle_alpha 90.00
_cell_angle_beta 90.00
_cell_angle_gamma 90.00
_space_group_name_H-M_alt 'I -4 2 d'
_space_group_IT_number 122
_space_group_name_Hall 'I -4 2bw'
loop_
_atom_site_label
_atom_site_type_symbol
_atom_site_fract_x
_atom_site_fract_y
_atom_site_fract_z
Na1 Na 0.236 0.750 0.125
Mg1 Mg 0.000 0.000 0.000
Ta1 Ta 0.000 0.000 0.500

***

| no. | final energy (eV/cell) |
| --- | --- |
| 1 | -33.195 |
| 2 | -43.694 |